No. 1
Computed, not measured: an optimized crystal structure of TbPm2Nd2Ho at the PBE level of DFT.

The calculation puts the formation energy at 58 meV per atom. The total magnetization is 0.00 Bohr magnetons per cell.

Unit cell a=7.0822 b=5.7202 c=9.9140 alpha=90.00 beta=90.00 gamma=90.00
With the nearest neighbours (Å) after each atom.
Positions (direct):
Tb  0.0000  0.0000  0.0000  2 Tb 3.54, 2 Nd 3.67, 4 Ho 3.72, 6 Pm 3.76-3.78
Tb  0.5000  0.0000  0.0000  2 Tb 3.54, 2 Nd 3.67, 4 Ho 3.72, 6 Pm 3.76-3.78
Pm  0.2500  0.0000  0.3374  7 Nd 3.35-3.73, 2 Ho 3.35
Pm  0.2500  0.5000  0.8311  2 Nd 3.25, 3 Ho 3.27-3.54
Pm  0.7500  0.0000  0.6626  7 Nd 3.35-3.73, 2 Ho 3.35
Pm  0.7500  0.5000  0.1689  2 Nd 3.25, 3 Ho 3.27-3.54
Nd  0.0000  0.5000  0.5000  6 Nd 3.54-3.79, 6 Pm 3.73, 2 Ho 3.80
Nd  0.2500  0.0000  0.6756  5 Pm 3.25-3.54
Nd  0.5000  0.5000  0.5000  6 Nd 3.54-3.79, 6 Pm 3.73, 2 Ho 3.80
Nd  0.7500  0.0000  0.3244  5 Pm 3.25-3.54
Ho  0.2500  0.5000  0.1607  5 Pm 3.27-3.54
Ho  0.7500  0.5000  0.8393  5 Pm 3.27-3.54


No. 2
Computed, not measured: an optimized crystal structure of ScW3Au at the PBE level of DFT.

The calculation puts the formation energy at 2261 meV per atom. The energy above the most stable polymorph in this dataset is 0 meV/atom. The total magnetization is 0.00 Bohr magnetons per cell.

Unit cell a=4.8693 b=4.8693 c=4.8693 alpha=90.00 beta=90.00 gamma=90.00
With the nearest neighbours (Å) after each atom.
Positions (direct):
Sc  0.0000  0.0000  0.0000  12 W 3.44
W  0.0000  0.5000  0.5000  2 Au 2.43
W  0.5000  0.0000  0.5000  2 Au 2.43
W  0.5000  0.5000  0.0000  2 Au 2.43
Au  0.5000  0.5000  0.5000  6 W 2.43


No. 3
Computed, not measured: an optimized crystal structure of TbEr6Tm2 at the PBE level of DFT.

The calculation puts the formation energy at 134 meV per atom. The energy above the most stable polymorph in this dataset is 0 meV/atom. The total magnetization is 0.00 Bohr magnetons per cell.

Unit cell a=9.6426 b=9.6426 c=6.1638 alpha=91.18 beta=91.18 gamma=104.42
With the nearest neighbours (Å) after each atom.
Positions (direct):
Tb  0.0293  0.9707  0.7500  2 Tb 3.21, 4 Tm 3.29-3.52, 2 Er 3.39
Tb  0.9707  0.0293  0.2500  2 Tb 3.21, 4 Tm 3.29-3.52, 2 Er 3.39
Er  0.0347  0.6917  0.4088  1 Tm 3.33, 6 Er 3.34-3.62, 2 Tb 3.39-3.61
Er  0.1370  0.6246  0.9080  8 Er 3.29-3.60, 2 Tm 3.33-3.38
Er  0.3083  0.9653  0.0912  1 Tm 3.33, 6 Er 3.34-3.62, 2 Tb 3.39-3.61
Er  0.3211  0.5184  0.4758  2 Tm 3.20-3.52, 4 Er 3.29-3.56
Er  0.3754  0.8630  0.5920  8 Er 3.29-3.60, 2 Tm 3.33-3.38
Er  0.4816  0.6789  0.0242  2 Tm 3.20-3.52, 4 Er 3.29-3.56
Er  0.5184  0.3211  0.9758  2 Tm 3.20-3.52, 4 Er 3.29-3.56
Er  0.6246  0.1370  0.4080  8 Er 3.29-3.60, 2 Tm 3.33-3.38
Er  0.6789  0.4816  0.5242  2 Tm 3.20-3.52, 4 Er 3.29-3.56
Er  0.6917  0.0347  0.9088  1 Tm 3.33, 6 Er 3.34-3.62, 2 Tb 3.39-3.61
Er  0.8630  0.3754  0.0920  8 Er 3.29-3.60, 2 Tm 3.33-3.38
Er  0.9653  0.3083  0.5912  1 Tm 3.33, 6 Er 3.34-3.62, 2 Tb 3.39-3.61
Tm  0.1836  0.3018  0.0148  5 Er 3.20-3.52, 2 Tb 3.29-3.52, 2 Tm 3.57
Tm  0.3018  0.1836  0.5148  5 Er 3.20-3.52, 2 Tb 3.29-3.52, 2 Tm 3.57
Tm  0.6982  0.8164  0.4852  5 Er 3.20-3.52, 2 Tb 3.29-3.52, 2 Tm 3.57
Tm  0.8164  0.6982  0.9852  5 Er 3.20-3.52, 2 Tb 3.29-3.52, 2 Tm 3.57


No. 4
Computed, not measured: an optimized crystal structure of Na3NdEr2Se6 at the PBE level of DFT.

The calculation puts the raw formation energy at -1694 meV per atom. The total magnetization is 0.00 Bohr magnetons per cell.

Unit cell a=7.2243 b=7.2243 c=7.4159 alpha=99.36 beta=99.36 gamma=120.01
With the nearest neighbours (Å) after each atom.
Positions (direct):
Na  0.0000  0.0000  0.0000  6 Se 3.00-3.09
Na  0.3349  0.6651  0.0000  6 Se 3.02-3.09
Na  0.6651  0.3349  0.0000  6 Se 3.02-3.09
Nd  0.5000  0.5000  0.5000  6 Se 2.96
Er  0.1670  0.8330  0.5000  6 Se 2.87
Er  0.8330  0.1670  0.5000  6 Se 2.87
Se  0.0798  0.4231  0.2699  2 Er 2.87, 1 Nd 2.96, 3 Na 3.02-3.09
Se  0.2335  0.2335  0.7307  2 Er 2.87, 1 Nd 2.96, 3 Na 3.00-3.08
Se  0.4231  0.0798  0.2699  2 Er 2.87, 1 Nd 2.96, 3 Na 3.02-3.09
Se  0.5769  0.9202  0.7301  2 Er 2.87, 1 Nd 2.96, 3 Na 3.02-3.09
Se  0.7665  0.7665  0.2693  2 Er 2.87, 1 Nd 2.96, 3 Na 3.00-3.08
Se  0.9202  0.5769  0.7301  2 Er 2.87, 1 Nd 2.96, 3 Na 3.02-3.09


No. 5
Computed, not measured: an optimized crystal structure of PmMg2InGe at the PBE level of DFT.

The calculation puts the formation energy at -248 meV per atom. The total magnetization is 0.00 Bohr magnetons per cell.

Unit cell a=8.3746 b=8.3746 c=7.9667 alpha=90.00 beta=90.00 gamma=152.03
With the nearest neighbours (Å) after each atom.
Positions (direct):
Pm  0.1053  0.8947  0.7500  2 Ge 3.11, 4 In 3.32, 4 Mg 3.44
Pm  0.8947  0.1053  0.2500  2 Ge 3.11, 4 In 3.32, 4 Mg 3.44
Mg  0.3211  0.6789  0.5648  3 Ge 2.75-2.77, 1 Mg 2.95, 1 In 2.95
Mg  0.3211  0.6789  0.9352  3 Ge 2.75-2.77, 1 Mg 2.95, 1 In 2.95
Mg  0.6789  0.3211  0.0648  3 Ge 2.75-2.77, 1 Mg 2.95, 1 In 2.95
Mg  0.6789  0.3211  0.4352  3 Ge 2.75-2.77, 1 Mg 2.95, 1 In 2.95
In  0.5000  0.5000  0.0000  2 Mg 2.95
In  0.5000  0.5000  0.5000  2 Mg 2.95
Ge  0.2492  0.7508  0.2500  6 Mg 2.75-2.77
Ge  0.7508  0.2492  0.7500  6 Mg 2.75-2.77


No. 6
Computed, not measured: an optimized crystal structure of Sc2MoC at the PBE level of DFT.

The calculation puts the formation energy at 216 meV per atom. The total magnetization is 0.00 Bohr magnetons per cell.

Unit cell a=8.3020 b=8.3020 c=8.3020 alpha=21.78 beta=21.78 gamma=21.78
With the nearest neighbours (Å) after each atom.
Positions (direct):
Sc  0.1143  0.1143  0.1143  3 C 2.21
Sc  0.8857  0.8857  0.8857  3 C 2.21
Mo  0.0000  0.0000  0.0000  2 Sc 2.78
C  0.5000  0.5000  0.5000  6 Sc 2.21


Q: What is the formula in the fourth record?
A: Na3NdEr2Se6